Record 1
First-principles (GGA-PBE) data for MnFePt2I after structural relaxation, as listed in the Alexandria database.

The structure belongs to space group P4/mmm (No. 123); the cell edges are 4.7555, 4.7555 and 4.9856 Å and the angles 90.00°, 90.00° and 90.00°. The distinct sites, in fractional coordinates, are Mn at (0.0000, 0.0000, 0.0000), Fe at (0.5000, 0.5000, 0.5000), Pt at (0.0000, 0.5000, 0.0000) and I at (0.0000, 0.0000, 0.5000).

Its formation energy from raw total energies is 1.140 eV per atom. Its theoretical density is 9.25 g cm⁻³. Its raw total energy is -5.1127 eV per atom.

Record 2
First-principles (GGA-PBE) data for RbMnFe2I8 after structural relaxation, as listed in the Alexandria database.

The structure belongs to space group C2/m (No. 12); the cell edges are 12.0429, 8.2390 and 10.6219 Å and the angles 90.00°, 96.86° and 90.00°. The distinct sites, in fractional coordinates, are Rb at (0.0000, 0.0000, 0.0000), Mn at (0.0000, 0.0000, 0.5000), Fe at (0.1170, 0.5000, 0.2911), I at (0.0166, 0.2473, 0.7020), I at (0.1914, 0.5000, 0.0766) and I at (0.2412, 0.0000, 0.5063).

Its formation energy from raw total energies is -0.408 eV per atom. Its theoretical density is 4.02 g cm⁻³. Its raw total energy is -3.6968 eV per atom.

Record 3
First-principles (GGA-PBE) data for MnFeRhI2 after structural relaxation, as listed in the Alexandria database.

The structure belongs to space group P4/mmm (No. 123); the cell edges are 5.0575, 5.0575 and 4.6407 Å and the angles 90.00°, 90.00° and 90.00°. The distinct sites, in fractional coordinates, are Mn at (0.0000, 0.0000, 0.0000), Fe at (0.0000, 0.0000, 0.5000), Rh at (0.5000, 0.5000, 0.0000) and I at (0.0000, 0.5000, 0.5000).

Its formation energy from raw total energies is 1.110 eV per atom. Its theoretical density is 6.54 g cm⁻³. Its raw total energy is -4.5069 eV per atom.

Record 4
First-principles (GGA-PBE) data for MnFeSb2I after structural relaxation, as listed in the Alexandria database.

The structure belongs to space group P4/mmm (No. 123); the cell edges are 4.8868, 4.8868 and 5.7020 Å and the angles 90.00°, 90.00° and 90.00°. The distinct sites, in fractional coordinates, are Mn at (0.0000, 0.0000, 0.0000), Fe at (0.5000, 0.5000, 0.5000), Sb at (0.0000, 0.5000, 0.5000) and I at (0.5000, 0.5000, 0.0000).

The energy above the most stable polymorph in this dataset comes out at 0.00 kJ/mol of atoms. Its formation energy from raw total energies is 0.693 eV per atom. Its theoretical density is 5.87 g cm⁻³. Its raw total energy is -4.7921 eV per atom.

- The highest formation energy from raw total energies belongs to which entry?
  MnFePt2I